Below is a relaxed structure of Hf2Ta2C3, with properties calculated at the PBE level.

It has space group C2/m (No. 12), with a = 10.833 Å, b = 3.238 Å, c = 5.505 Å, α = 90.00°, β = 103.39° and γ = 90.00°. The asymmetric unit holds Hf at (0.121, 0.000, 0.364), Ta at (0.138, 0.500, 0.857), C at (0.000, 0.500, 0.500) and C at (0.249, 0.000, 0.752).

The formation energy from the elements is -0.7815 eV per atom. The total magnetic moment is 0.0 μB per cell. As for the polymorph energy (0 for the lowest one): 0.0 meV per atom. The value obtained for the raw total energy is -153.51 eV per cell.